1.
MgAg2HPd: relaxed, GGA-PBE.

Geometry as POSCAR:
```
MgAg2HPd
1.0
4.041 0.000 0.000
0.000 4.041 0.000
0.000 0.000 4.366
Mg Ag H Pd
1 2 1 1
direct
0.000 0.000 0.000
0.000 0.500 0.500
0.500 0.000 0.500
0.000 0.000 0.500
0.500 0.500 0.000
```

The value obtained for the density of states at the Fermi level is 0.17 states/eV/atom. As for the mass density: 8.09 g/cm³. For the magnetic moment, the calculation gives 0.0 μB/f.u. The calculation puts the offset from the most stable computed form at 24 kJ/mol of formula units. As for the crystal system: tetragonal.

2.
MgAg2HPd: relaxed, GGA-PBE.

Geometry as POSCAR:
```
MgAg2HPd
1.0
4.278 0.000 0.000
0.000 4.278 0.000
0.000 0.000 3.905
Mg Ag H Pd
1 2 1 1
direct
0.000 0.000 0.000
0.000 0.500 0.500
0.500 0.000 0.500
0.500 0.500 0.500
0.500 0.500 0.000
```

The value obtained for the density of states at the Fermi level is 0.35 states/eV/atom. As for the mass density: 8.08 g/cm³. For the magnetic moment, the calculation gives 0.0 μB/f.u. The calculation puts the offset from the most stable computed form at 0 kJ/mol of formula units. As for the crystal system: tetragonal.

3.
MgAgHPd2: relaxed, GGA-PBE.

Geometry as POSCAR:
```
MgAgHPd2
1.0
4.012 0.000 0.000
0.000 4.012 0.000
0.000 0.000 4.176
Mg Ag H Pd
1 1 1 2
direct
0.000 0.000 0.000
0.500 0.500 0.000
0.000 0.000 0.500
0.000 0.500 0.500
0.500 0.000 0.500
```

The value obtained for the density of states at the Fermi level is 0.29 states/eV/atom. As for the mass density: 8.55 g/cm³. For the magnetic moment, the calculation gives 0.0 μB/f.u. The calculation puts the offset from the most stable computed form at 8 kJ/mol of formula units. As for the crystal system: tetragonal.

4.
MgAgHPd2: relaxed, GGA-PBE.

Geometry as POSCAR:
```
MgAgHPd2
1.0
4.069 0.000 0.000
0.000 4.069 0.000
0.000 0.000 4.072
Mg Ag H Pd
1 1 1 2
direct
0.000 0.000 0.000
0.500 0.500 0.000
0.500 0.500 0.500
0.000 0.500 0.500
0.500 0.000 0.500
```

The value obtained for the density of states at the Fermi level is 0.14 states/eV/atom. As for the mass density: 8.52 g/cm³. For the magnetic moment, the calculation gives 0.0 μB/f.u. The calculation puts the offset from the most stable computed form at 0 kJ/mol of formula units. As for the crystal system: tetragonal.

5.
MgAgHPt2: relaxed, GGA-PBE.

Geometry as POSCAR:
```
MgAgHPt2
1.0
4.011 0.000 0.000
0.000 4.011 0.000
0.000 0.000 4.188
Mg Ag H Pt
1 1 1 2
direct
0.000 0.000 0.000
0.500 0.500 0.000
0.000 0.000 0.500
0.000 0.500 0.500
0.500 0.000 0.500
```

The value obtained for the density of states at the Fermi level is 0.19 states/eV/atom. As for the mass density: 12.90 g/cm³. For the magnetic moment, the calculation gives 0.0 μB/f.u. The calculation puts the offset from the most stable computed form at 0 kJ/mol of formula units. As for the crystal system: tetragonal.

6.
Mg2AgHPt: relaxed, GGA-PBE.

Geometry as POSCAR:
```
Mg2AgHPt
1.0
4.333 0.000 0.000
0.000 4.333 0.000
0.000 0.000 3.783
Mg Ag H Pt
2 1 1 1
direct
0.000 0.500 0.000
0.500 0.000 0.000
0.000 0.000 0.500
0.000 0.000 0.000
0.500 0.500 0.500
```

The value obtained for the density of states at the Fermi level is 0.34 states/eV/atom. As for the mass density: 8.24 g/cm³. For the magnetic moment, the calculation gives 0.0 μB/f.u. The calculation puts the offset from the most stable computed form at 38 kJ/mol of formula units. As for the crystal system: tetragonal.

7.
MgAgHPt2: relaxed, GGA-PBE.

Geometry as POSCAR:
```
MgAgHPt2
1.0
4.039 0.000 0.000
0.000 4.039 0.000
0.000 0.000 4.157
Mg Ag H Pt
1 1 1 2
direct
0.000 0.000 0.000
0.500 0.500 0.000
0.500 0.500 0.500
0.000 0.500 0.500
0.500 0.000 0.500
```

The value obtained for the density of states at the Fermi level is 0.18 states/eV/atom. As for the mass density: 12.82 g/cm³. For the magnetic moment, the calculation gives 0.0 μB/f.u. The calculation puts the offset from the most stable computed form at 3 kJ/mol of formula units. As for the crystal system: tetragonal.

8.
MgAg2HPt: relaxed, GGA-PBE.

Geometry as POSCAR:
```
MgAg2HPt
1.0
4.020 0.000 0.000
0.000 4.020 0.000
0.000 0.000 4.393
Mg Ag H Pt
1 2 1 1
direct
0.000 0.000 0.000
0.000 0.500 0.500
0.500 0.000 0.500
0.000 0.000 0.500
0.500 0.500 0.000
```

The value obtained for the density of states at the Fermi level is 0.09 states/eV/atom. As for the mass density: 10.20 g/cm³. For the magnetic moment, the calculation gives 0.0 μB/f.u. The calculation puts the offset from the most stable computed form at 22 kJ/mol of formula units. As for the crystal system: tetragonal.

9.
MgAg2HPt: relaxed, GGA-PBE.

Geometry as POSCAR:
```
MgAg2HPt
1.0
4.257 0.000 0.000
0.000 4.257 0.000
0.000 0.000 3.944
Mg Ag H Pt
1 2 1 1
direct
0.000 0.000 0.000
0.000 0.500 0.500
0.500 0.000 0.500
0.500 0.500 0.500
0.500 0.500 0.000
```

The value obtained for the density of states at the Fermi level is 0.39 states/eV/atom. As for the mass density: 10.13 g/cm³. For the magnetic moment, the calculation gives 0.0 μB/f.u. The calculation puts the offset from the most stable computed form at 0 kJ/mol of formula units. As for the crystal system: tetragonal.

10.
Mg2AgHPt: relaxed, GGA-PBE.

Geometry as POSCAR:
```
Mg2AgHPt
1.0
4.602 0.000 0.000
0.000 4.602 0.000
0.000 0.000 3.466
Mg Ag H Pt
2 1 1 1
direct
0.000 0.500 0.000
0.500 0.000 0.000
0.000 0.000 0.500
0.500 0.500 0.000
0.500 0.500 0.500
```

The value obtained for the density of states at the Fermi level is 0.43 states/eV/atom. As for the mass density: 7.97 g/cm³. For the magnetic moment, the calculation gives 0.0 μB/f.u. The calculation puts the offset from the most stable computed form at 0 kJ/mol of formula units. As for the crystal system: tetragonal.

11.
Mg2AgHRh: relaxed, GGA-PBE.

Geometry as POSCAR:
```
Mg2AgHRh
1.0
4.322 0.000 0.000
0.000 4.322 0.000
0.000 0.000 3.722
Mg Ag H Rh
2 1 1 1
direct
0.000 0.500 0.000
0.500 0.000 0.000
0.000 0.000 0.500
0.000 0.000 0.000
0.500 0.500 0.500
```

The value obtained for the density of states at the Fermi level is 0.26 states/eV/atom. As for the mass density: 6.22 g/cm³. For the magnetic moment, the calculation gives 0.0 μB/f.u. The calculation puts the offset from the most stable computed form at 94 kJ/mol of formula units. As for the crystal system: tetragonal.

12.
Mg2AgHRh: relaxed, GGA-PBE.

Geometry as POSCAR:
```
Mg2AgHRh
1.0
4.507 0.000 0.000
0.000 4.507 0.000
0.000 0.000 3.454
Mg Ag H Rh
2 1 1 1
direct
0.000 0.500 0.000
0.500 0.000 0.000
0.000 0.000 0.500
0.500 0.500 0.000
0.500 0.500 0.500
```

The value obtained for the density of states at the Fermi level is 0.07 states/eV/atom. As for the mass density: 6.16 g/cm³. For the magnetic moment, the calculation gives 0.0 μB/f.u. The calculation puts the offset from the most stable computed form at 0 kJ/mol of formula units. As for the crystal system: tetragonal.

13.
MgAg2HRh: relaxed, GGA-PBE.

Geometry as POSCAR:
```
MgAg2HRh
1.0
4.227 0.000 0.000
0.000 4.227 0.000
0.000 0.000 3.871
Mg Ag H Rh
1 2 1 1
direct
0.000 0.000 0.000
0.000 0.500 0.500
0.500 0.000 0.500
0.500 0.500 0.500
0.500 0.500 0.000
```

The value obtained for the density of states at the Fermi level is 0.10 states/eV/atom. As for the mass density: 8.26 g/cm³. For the magnetic moment, the calculation gives 0.0 μB/f.u. As for the crystal system: tetragonal. As for the total energy: -3.72 eV/atom.

14.
Mg2AgHRu: relaxed, GGA-PBE.

Geometry as POSCAR:
```
Mg2AgHRu
1.0
4.447 0.000 0.000
0.000 4.447 0.000
0.000 0.000 3.500
Mg Ag H Ru
2 1 1 1
direct
0.000 0.500 0.000
0.500 0.000 0.000
0.000 0.000 0.500
0.500 0.500 0.000
0.500 0.500 0.500
```

The value obtained for the density of states at the Fermi level is 0.41 states/eV/atom. As for the mass density: 6.20 g/cm³. For the magnetic moment, the calculation gives 0.0 μB/f.u. As for the crystal system: tetragonal. As for the total energy: -3.87 eV/atom.

15.
MgAg2SbH: relaxed, GGA-PBE.

Geometry as POSCAR:
```
MgAg2SbH
1.0
4.282 0.000 0.000
0.000 4.282 0.000
0.000 0.000 4.680
Mg Ag Sb H
1 2 1 1
direct
0.000 0.000 0.000
0.000 0.500 0.500
0.500 0.000 0.500
0.500 0.500 0.000
0.000 0.000 0.500
```

The value obtained for the density of states at the Fermi level is 0.31 states/eV/atom. As for the mass density: 7.02 g/cm³. For the magnetic moment, the calculation gives 0.0 μB/f.u. As for the crystal system: tetragonal. As for the total energy: -2.90 eV/atom.

16.
MgSc2AgH: relaxed, GGA-PBE.

Geometry as POSCAR:
```
MgSc2AgH
1.0
4.470 0.000 0.000
0.000 4.470 0.000
0.000 0.000 4.312
Mg Sc Ag H
1 2 1 1
direct
0.000 0.000 0.000
0.000 0.500 0.500
0.500 0.000 0.500
0.500 0.500 0.000
0.500 0.500 0.500
```

The value obtained for the density of states at the Fermi level is 0.87 states/eV/atom. As for the mass density: 4.30 g/cm³. For the magnetic moment, the calculation gives 0.5 μB/f.u. The calculation puts the offset from the most stable computed form at 17 kJ/mol of formula units. As for the crystal system: tetragonal.

17.
MgScAg2H: relaxed, GGA-PBE.

Geometry as POSCAR:
```
MgScAg2H
1.0
5.349 0.000 0.000
0.000 5.349 0.000
0.000 0.000 5.980
Mg Sc Ag H
1 1 2 1
direct
0.000 0.000 0.000
0.000 0.000 0.500
0.000 0.500 0.500
0.500 0.000 0.500
0.500 0.500 0.000
```

The value obtained for the density of states at the Fermi level is 0.54 states/eV/atom. As for the mass density: 2.78 g/cm³. For the magnetic moment, the calculation gives 0.1 μB/f.u. As for the crystal system: tetragonal. As for the total energy: -2.13 eV/atom.

18.
MgSc2AgH: relaxed, GGA-PBE.

Geometry as POSCAR:
```
MgSc2AgH
1.0
4.405 0.000 0.000
0.000 4.405 0.000
0.000 0.000 4.384
Mg Sc Ag H
1 2 1 1
direct
0.000 0.000 0.000
0.000 0.500 0.500
0.500 0.000 0.500
0.500 0.500 0.000
0.000 0.000 0.500
```

The value obtained for the density of states at the Fermi level is 1.04 states/eV/atom. As for the mass density: 4.35 g/cm³. For the magnetic moment, the calculation gives 1.0 μB/f.u. The calculation puts the offset from the most stable computed form at 0 kJ/mol of formula units. As for the crystal system: tetragonal.

19.
MgAg2SnH: relaxed, GGA-PBE.

Geometry as POSCAR:
```
MgAg2SnH
1.0
4.289 0.000 0.000
0.000 4.289 0.000
0.000 0.000 4.568
Mg Ag Sn H
1 2 1 1
direct
0.000 0.000 0.000
0.000 0.500 0.500
0.500 0.000 0.500
0.500 0.500 0.000
0.000 0.000 0.500
```

The value obtained for the density of states at the Fermi level is 0.27 states/eV/atom. As for the mass density: 7.11 g/cm³. For the magnetic moment, the calculation gives 0.0 μB/f.u. As for the crystal system: tetragonal. As for the total energy: -2.85 eV/atom.

20.
Sr2MgAgH: relaxed, GGA-PBE.

Geometry as POSCAR:
```
Sr2MgAgH
1.0
5.385 0.000 0.000
0.000 5.385 0.000
0.000 0.000 4.359
Sr Mg Ag H
2 1 1 1
direct
0.000 0.500 0.000
0.500 0.000 0.000
0.000 0.000 0.500
0.500 0.500 0.500
0.000 0.000 0.000
```

The value obtained for the density of states at the Fermi level is 0.44 states/eV/atom. As for the mass density: 4.05 g/cm³. For the magnetic moment, the calculation gives 0.0 μB/f.u. The calculation puts the offset from the most stable computed form at 0 kJ/mol of formula units. As for the crystal system: tetragonal.